[1]
CaPr2In | GGA-PBE | relaxed

a b c (Å): 4.118 4.118 7.847
angles (deg): 90.00 90.00 90.00
Fractional coordinates of all 4 atoms:
In  0.500  0.500  0.000
Pr  0.000  0.000  0.775
Ca  0.500  0.500  0.500
Pr  0.000  0.000  0.225

Values from the calculation:
Energy relative to the lowest polymorph listed for this composition in eV per atom: 0.0652
VASP energy in eV per atom: -3.7499
DOS(E_F) in states/eV per atom: 1.169
E_form in kJ/mol of formula units: -68

[2]
Nd8BiTe6 | GGA-PBE | relaxed

a b c (Å): 4.502 11.339 11.339
angles (deg): 120.00 90.00 90.00
Fractional coordinates of all 15 atoms:
Te  0.248  0.520  0.646
Nd  0.743  0.725  0.691
Nd  0.257  0.034  0.725
Nd  0.746  0.333  0.667
Te  0.752  0.480  0.354
Nd  0.257  0.691  0.966
Nd  0.743  0.966  0.275
Te  0.752  0.874  0.520
Te  0.752  0.646  0.126
Bi  0.500  0.000  0.000
Nd  0.743  0.309  0.034
Nd  0.257  0.275  0.309
Te  0.248  0.126  0.480
Nd  0.254  0.667  0.333
Te  0.248  0.354  0.874

Values from the calculation:
VASP energy in eV per atom: -5.1082
DOS(E_F) in states/eV per atom: 0.679

[3]
LiHfMg2Pb | GGA-PBE | relaxed

a b c (Å): 5.347 5.549 5.347
angles (deg): 90.00 90.00 90.00
Fractional coordinates of all 5 atoms:
Mg  0.000  0.000  0.500
Pb  0.000  0.000  0.000
Mg  0.500  0.000  0.000
Li  0.500  0.500  0.500
Hf  0.000  0.500  0.000

Values from the calculation:
VASP energy in eV per atom: -2.9903
DOS(E_F) in states/eV per atom: 0.588
E_form in kJ/mol of formula units: 368